# TlOs2

A relaxed TlOs2 crystal (GGA-PBE, Alexandria).

Summary:
Its formation energy from the elements is 1.25 eV/atom.

Cell lengths 3.591, 3.591, 4.735 Å; angles 90.00, 90.00, 90.00 degrees
Space group P4/mmm (No. 123)
Unique sites:
Tl 0.000 0.000 0.000 [1 per cell]
Os 0.000 0.500 0.500 [2 per cell]

---

# PuZnCu

A relaxed PuZnCu crystal (GGA-PBE, Alexandria).

Summary:
Its formation energy from the elements is 0.19 eV/atom.

Cell lengths 4.727, 4.315, 6.135 Å; angles 90.00, 90.00, 90.00 degrees
Space group Pmma (No. 51)
Unique sites:
Pu 0.250 0.000 0.135 [2 per cell]
Zn 0.250 0.500 0.773 [2 per cell]
Cu 0.250 0.000 0.591 [2 per cell]

---

# AgHg2Ir

A relaxed AgHg2Ir crystal (GGA-PBE, Alexandria).

Summary:
Its formation energy from the elements is 0.35 eV/atom.

Cell lengths 3.0172, 3.0172, 28.3472 Å; angles 90.00, 90.00, 120.00 degrees
Space group R-3m (No. 166, hexagonal axes)
Unique sites:
Ag 0.0000 0.0000 0.0000 [3 per cell]
Hg 0.0000 0.0000 0.2475 [6 per cell]
Ir 0.0000 0.0000 0.5000 [3 per cell]

---

# VZnAu

A relaxed VZnAu crystal (GGA-PBE, Alexandria).

Summary:
Its formation energy from the elements is 0.16 eV/atom.

Cell lengths 4.850, 8.131, 9.882 Å; angles 90.00, 90.00, 90.00 degrees
Space group Fmmm (No. 69)
Unique sites:
V 0.000 0.175 0.000 [8 per cell]
Zn 0.250 0.250 0.250 [8 per cell]
Au 0.000 0.000 0.364 [8 per cell]

---

# Sm2MgZr

A relaxed Sm2MgZr crystal (GGA-PBE, Alexandria).

Summary:
Its formation energy from the elements is 0.02 eV/atom.

Cell lengths 3.452, 3.452, 9.499 Å; angles 90.00, 90.00, 90.00 degrees
Space group P4/mmm (No. 123)
Unique sites:
Sm 0.000 0.000 0.245 [2 per cell]
Mg 0.500 0.500 0.500 [1 per cell]
Zr 0.500 0.500 0.000 [1 per cell]

---

# RuPtW2

A relaxed RuPtW2 crystal (GGA-PBE, Alexandria).

Summary:
Its formation energy from the elements is 0.05 eV/atom.

Cell lengths 3.287, 3.287, 5.783 Å; angles 90.00, 90.00, 90.00 degrees
Space group P4mm (No. 99)
Unique sites:
Ru 0.000 0.000 0.000 [1 per cell]
Pt 0.500 0.500 0.727 [1 per cell]
W 0.000 0.000 0.488 [1 per cell]
W 0.500 0.500 0.218 [1 per cell]

---

# CdPt2Au6

A relaxed CdPt2Au6 crystal (GGA-PBE, Alexandria).

Summary:
Its formation energy from the elements is -0.06 eV/atom.

Cell lengths 12.318, 4.133, 6.560 Å; angles 90.00, 108.01, 90.00 degrees
Space group C2/m (No. 12)
Unique sites:
Cd 0.000 0.000 0.000 [2 per cell]
Pt 0.053 0.500 0.335 [4 per cell]
Au 0.110 0.000 0.663 [4 per cell]
Au 0.165 0.500 0.003 [4 per cell]
Au 0.223 0.000 0.335 [4 per cell]

---

# IrAuCl3

A relaxed IrAuCl3 crystal (GGA-PBE, Alexandria).

Summary:
The value obtained for the uncorrected formation energy is 0.359 eV/atom.

Cell lengths 4.794, 4.794, 4.794 Å; angles 90.00, 90.00, 90.00 degrees
Space group Pm-3m (No. 221)
Unique sites:
Ir 0.000 0.000 0.000 [1 per cell]
Au 0.500 0.500 0.500 [1 per cell]
Cl 0.000 0.000 0.500 [3 per cell]

---

# Zr4ScPa3N8

A relaxed Zr4ScPa3N8 crystal (GGA-PBE, Alexandria).

Summary:
The value obtained for the uncorrected formation energy is -1.698 eV/atom.

Cell lengths 6.7071, 6.7071, 16.4152 Å; angles 90.00, 90.00, 120.00 degrees
Space group R-3m (No. 166, hexagonal axes)
Unique sites:
Zr 0.0000 0.0000 0.0000 [3 per cell]
Zr 0.0000 0.5000 0.0000 [9 per cell]
Sc 0.0000 0.0000 0.5000 [3 per cell]
Pa 0.0000 0.5000 0.5000 [9 per cell]
N 0.0000 0.0000 0.2554 [6 per cell]
N 0.0078 0.5039 0.2510 [18 per cell]

---

# LiOs2CO

A relaxed LiOs2CO crystal (GGA-PBE, Alexandria).

Summary:
The value obtained for the uncorrected formation energy is 2.309 eV/atom.

Cell lengths 4.131, 4.131, 3.191 Å; angles 90.00, 90.00, 90.00 degrees
Space group P4/mmm (No. 123)
Unique sites:
Li 0.000 0.000 0.000 [1 per cell]
Os 0.000 0.500 0.000 [2 per cell]
C 0.000 0.000 0.500 [1 per cell]
O 0.500 0.500 0.500 [1 per cell]

---

# HfNbRuRh

A relaxed HfNbRuRh crystal (GGA-PBE, Alexandria).

Summary:
Its formation energy from the elements is -0.49 eV/atom.

Cell lengths 6.449, 6.449, 6.449 Å; angles 90.00, 90.00, 90.00 degrees
Space group F-43m (No. 216)
Unique sites:
Hf 0.000 0.000 0.000 [4 per cell]
Nb 0.000 0.000 0.500 [4 per cell]
Ru 0.250 0.250 0.750 [4 per cell]
Rh 0.250 0.250 0.250 [4 per cell]

---

# ZnBi2S

A relaxed ZnBi2S crystal (GGA-PBE, Alexandria).

Summary:
The value obtained for the uncorrected formation energy is 0.198 eV/atom.

Cell lengths 7.256, 7.256, 7.256 Å; angles 90.00, 90.00, 90.00 degrees
Space group Fm-3m (No. 225)
Unique sites:
Zn 0.000 0.000 0.000 [4 per cell]
Bi 0.250 0.250 0.250 [8 per cell]
S 0.000 0.000 0.500 [4 per cell]

---

# Tb15Ce2Er2

A relaxed Tb15Ce2Er2 crystal (GGA-PBE, Alexandria).

Summary:
Its formation energy from the elements is 0.30 eV/atom.

Cell lengths 11.1222, 11.1222, 17.6924 Å; angles 90.00, 90.00, 120.00 degrees
Space group R-3m (No. 166, hexagonal axes)
Unique sites:
Tb 0.0000 0.3031 0.0000 [18 per cell]
Tb 0.0000 0.5000 0.5000 [9 per cell]
Tb 0.0112 0.5056 0.1374 [18 per cell]
Ce 0.0000 0.0000 0.0748 [6 per cell]
Er 0.0000 0.0000 0.3178 [6 per cell]

---

# AgSb3IF24

A relaxed AgSb3IF24 crystal (GGA-PBE, Alexandria).

Summary:
The value obtained for the uncorrected formation energy is -1.909 eV/atom.

Cell lengths 10.545, 18.081, 9.804 Å; angles 90.00, 93.11, 90.00 degrees
Space group C2/c (No. 15)
Unique sites:
Ag 0.000 0.000 0.000 [4 per cell]
Sb 0.000 0.172 0.250 [4 per cell]
Sb 0.238 0.414 0.255 [8 per cell]
I 0.000 0.336 0.750 [4 per cell]
F 0.065 0.407 0.642 [8 per cell]
F 0.066 0.091 0.135 [8 per cell]
F 0.066 0.265 0.642 [8 per cell]
F 0.067 0.241 0.128 [8 per cell]
F 0.093 0.412 0.132 [8 per cell]
F 0.100 0.080 0.624 [8 per cell]
F 0.146 0.335 0.859 [8 per cell]
F 0.157 0.164 0.353 [8 per cell]
F 0.174 0.159 0.843 [8 per cell]
F 0.175 0.493 0.361 [8 per cell]
F 0.180 0.343 0.377 [8 per cell]
F 0.182 0.012 0.855 [8 per cell]

---

# Li2PtPbO4

A relaxed Li2PtPbO4 crystal (GGA-PBE, Alexandria).

Summary:
The value obtained for the uncorrected formation energy is -0.955 eV/atom.

Cell lengths 4.631, 4.631, 10.313 Å; angles 90.00, 90.00, 90.00 degrees
Space group I-42m (No. 121)
Unique sites:
Li 0.000 0.500 0.250 [4 per cell]
Pt 0.000 0.000 0.000 [2 per cell]
Pb 0.000 0.000 0.500 [2 per cell]
O 0.193 0.193 0.854 [8 per cell]

---

# NaTe2As2

A relaxed NaTe2As2 crystal (GGA-PBE, Alexandria).

Summary:
The value obtained for the uncorrected formation energy is 0.061 eV/atom.

Cell lengths 4.455, 4.455, 14.895 Å; angles 90.00, 90.00, 90.00 degrees
Space group I4/mmm (No. 139)
Unique sites:
Na 0.000 0.000 0.000 [2 per cell]
Te 0.000 0.500 0.250 [4 per cell]
As 0.000 0.000 0.424 [4 per cell]

---

# Cr2Ga2Ni

A relaxed Cr2Ga2Ni crystal (GGA-PBE, Alexandria).

Summary:
Its formation energy from the elements is 0.13 eV/atom.

Cell lengths 6.236, 6.236, 3.641 Å; angles 90.00, 90.00, 90.00 degrees
Space group P4/mbm (No. 127)
Unique sites:
Cr 0.164 0.336 0.000 [4 per cell]
Ga 0.142 0.642 0.500 [4 per cell]
Ni 0.000 0.000 0.500 [2 per cell]

---

# YNpV

A relaxed YNpV crystal (GGA-PBE, Alexandria).

Summary:
Its formation energy from the elements is 0.39 eV/atom.

Cell lengths 12.870, 3.234, 8.035 Å; angles 90.00, 126.57, 90.00 degrees
Space group C2/m (No. 12)
Unique sites:
Y 0.102 0.000 0.271 [4 per cell]
Np 0.117 0.500 0.673 [4 per cell]
V 0.167 0.500 0.994 [4 per cell]

---

# CSeBr2Cl

A relaxed CSeBr2Cl crystal (GGA-PBE, Alexandria).

Summary:
The value obtained for the uncorrected formation energy is 1.996 eV/atom.

Cell lengths 5.308, 5.308, 5.026 Å; angles 90.00, 90.00, 90.00 degrees
Space group P4/mmm (No. 123)
Unique sites:
C 0.000 0.000 0.000 [1 per cell]
Se 0.500 0.500 0.000 [1 per cell]
Br 0.000 0.500 0.500 [2 per cell]
Cl 0.500 0.500 0.500 [1 per cell]

---

# Mo2RuCl

A relaxed Mo2RuCl crystal (GGA-PBE, Alexandria).

Summary:
The value obtained for the uncorrected formation energy is 0.361 eV/atom.

Cell lengths 2.819, 3.352, 7.091 Å; angles 90.00, 90.00, 90.00 degrees
Space group Pmmm (No. 47)
Unique sites:
Mo 0.000 0.000 0.213 [2 per cell]
Ru 0.500 0.500 0.000 [1 per cell]
Cl 0.000 0.500 0.500 [1 per cell]